(1)
Material: BaPtRh2
Method: DFT, meta-GGA SCAN
State: single point on PBEsol structure

Unit cell a=5.6608 b=5.6608 c=2.9326 alpha=103.78 beta=103.78 gamma=117.62
With the nearest neighbours (Å) after each atom.
Element x y z (fractional)
Ba  0.0000  0.0000  0.0000  4 Rh 2.86, 4 Pt 2.93-3.05, 2 Ba 2.93
Pt  0.5000  0.5000  0.0000  4 Rh 2.86, 4 Ba 2.93-3.05, 2 Pt 2.93
Rh  0.0000  0.5000  0.5000  2 Ba 2.86, 2 Pt 2.86, 6 Rh 2.93-3.05
Rh  0.5000  0.0000  0.5000  2 Ba 2.86, 2 Pt 2.86, 6 Rh 2.93-3.05

Summary:
As for the formation enthalpy at 0 K: 1.84 eV/f.u. The crystal system is monoclinic.



(2)
Material: BaPtRh2
Method: DFT, meta-GGA SCAN
State: single point on PBEsol structure

Unit cell a=6.0178 b=6.0178 c=6.0178 alpha=43.09 beta=43.09 gamma=43.09
With the nearest neighbours (Å) after each atom.
Element x y z (fractional)
Ba  0.0000  0.0000  0.0000  1 Rh 3.03, 1 Pt 3.10
Pt  0.8104  0.8104  0.8104  6 Rh 2.58-2.64
Rh  0.1853  0.1853  0.1853  3 Rh 2.57, 3 Pt 2.64
Rh  0.5018  0.5018  0.5018  3 Rh 2.57, 3 Pt 2.58

Summary:
As for the formation enthalpy at 0 K: -1.14 eV/f.u. The crystal system is trigonal.



(3)
Material: BaPtRh2
Method: DFT, meta-GGA SCAN
State: single point on PBEsol structure

Unit cell a=5.0353 b=5.0353 c=2.9816 alpha=90.00 beta=90.00 gamma=106.30
With the nearest neighbours (Å) after each atom.
Element x y z (fractional)
Ba  0.0000  0.0000  0.0000  8 Rh 2.93, 2 Ba 2.98, 2 Pt 3.02
Pt  0.5000  0.5000  0.0000  8 Rh 2.93, 2 Pt 2.98, 2 Ba 3.02
Rh  0.0000  0.5000  0.5000  4 Ba 2.93, 4 Pt 2.93, 4 Rh 2.98-3.02
Rh  0.5000  0.0000  0.5000  4 Ba 2.93, 4 Pt 2.93, 4 Rh 2.98-3.02

Summary:
As for the formation enthalpy at 0 K: 1.61 eV/f.u. The crystal system is orthorhombic.



(4)
Material: BaPtRh2
Method: DFT, meta-GGA SCAN
State: single point on PBEsol structure

Unit cell a=4.2662 b=4.2662 c=4.0589 alpha=90.00 beta=90.00 gamma=90.00
With the nearest neighbours (Å) after each atom.
Element x y z (fractional)
Ba  0.0000  0.0000  0.0000  8 Rh 2.94, 4 Pt 3.02
Pt  0.5000  0.5000  0.0000  8 Rh 2.94, 4 Ba 3.02
Rh  0.0000  0.5000  0.5000  4 Ba 2.94, 4 Pt 2.94, 4 Rh 3.02
Rh  0.5000  0.0000  0.5000  4 Ba 2.94, 4 Pt 2.94, 4 Rh 3.02

Summary:
As for the formation enthalpy at 0 K: 1.38 eV/f.u. The crystal system is tetragonal.



(5)
Material: BaRuPt2
Method: DFT, meta-GGA SCAN
State: single point on PBEsol structure

Unit cell a=4.8081 b=4.8081 c=4.8081 alpha=60.00 beta=60.00 gamma=60.00
With the nearest neighbours (Å) after each atom.
Element x y z (fractional)
Ba  0.0000  0.0000  0.0000  8 Pt 2.94
Ru  0.5000  0.5000  0.5000  8 Pt 2.94
Pt  0.2500  0.2500  0.2500  4 Ru 2.94, 4 Ba 2.94
Pt  0.7500  0.7500  0.7500  4 Ru 2.94, 4 Ba 2.94

Summary:
As for the formation enthalpy at 0 K: 2.10 eV/f.u. The crystal system is cubic.



(6)
Material: BaRuPt2
Method: DFT, meta-GGA SCAN
State: single point on PBEsol structure

Unit cell a=2.8881 b=4.4038 c=6.3623 alpha=90.00 beta=92.73 gamma=90.00
With the nearest neighbours (Å) after each atom.
Element x y z (fractional)
Ba  0.0000  0.0000  0.0000  2 Ba 2.89, 5 Pt 3.16-3.20
Ru  0.0682  0.5000  0.6181  6 Pt 2.61-2.70, 2 Ru 2.89
Pt  0.5323  0.5000  0.2757  2 Ru 2.61, 4 Pt 2.74-2.89
Pt  0.5498  0.0000  0.5313  4 Ru 2.68-2.70, 4 Pt 2.74-2.89

Summary:
As for the formation enthalpy at 0 K: 0.68 eV/f.u. The crystal system is monoclinic.



(7)
Material: BaRu3Pt
Method: DFT, meta-GGA SCAN
State: single point on PBEsol structure

Unit cell a=4.8157 b=4.8157 c=4.8157 alpha=90.00 beta=90.00 gamma=90.00
With the nearest neighbours (Å) after each atom.
Element x y z (fractional)
Ba  0.0000  0.0000  0.0000  12 Ru 3.41
Ru  0.0000  0.5000  0.5000  2 Pt 2.41
Ru  0.5000  0.0000  0.5000  2 Pt 2.41
Ru  0.5000  0.5000  0.0000  2 Pt 2.41
Pt  0.5000  0.5000  0.5000  6 Ru 2.41

Summary:
As for the formation enthalpy at 0 K: 5.83 eV/f.u. The crystal system is cubic.



(8)
Material: Ba2RuPt
Method: DFT, meta-GGA SCAN
State: single point on PBEsol structure

Unit cell a=5.1707 b=5.1707 c=5.1707 alpha=60.00 beta=60.00 gamma=60.00
With the nearest neighbours (Å) after each atom.
Element x y z (fractional)
Ba  0.0000  0.0000  0.0000  4 Ru 3.17, 4 Ba 3.17
Ba  0.2500  0.2500  0.2500  4 Pt 3.17, 4 Ba 3.17
Ru  0.7500  0.7500  0.7500  4 Pt 3.17, 4 Ba 3.17
Pt  0.5000  0.5000  0.5000  4 Ba 3.17, 4 Ru 3.17

Summary:
As for the formation enthalpy at 0 K: 1.62 eV/f.u. The crystal system is cubic.



(9)
Material: BaPt2S
Method: DFT, meta-GGA SCAN
State: single point on PBEsol structure

Unit cell a=8.2471 b=8.2471 c=8.2471 alpha=142.73 beta=142.73 gamma=53.73
With the nearest neighbours (Å) after each atom.
Element x y z (fractional)
Ba  0.3750  0.6250  0.7500  8 Pt 3.47, 4 S 3.73
Ba  0.6250  0.3750  0.2500  8 Pt 3.47, 4 S 3.73
Pt  0.0000  0.0000  0.0000  2 S 2.26
Pt  0.0000  0.0000  0.5000  2 S 2.26
Pt  0.0000  0.5000  0.0000  2 S 2.26
Pt  0.5000  0.0000  0.5000  2 S 2.26
S  0.1250  0.8750  0.2500  4 Pt 2.26
S  0.8750  0.1250  0.7500  4 Pt 2.26

Summary:
For the total energy, the calculation gives -386.90 eV for the cell shown. The crystal system is tetragonal.



(10)
Material: Ba3PtS
Method: DFT, meta-GGA SCAN
State: single point on PBEsol structure

Unit cell a=5.8362 b=5.8362 c=5.8362 alpha=90.00 beta=90.00 gamma=90.00
With the nearest neighbours (Å) after each atom.
Element x y z (fractional)
Ba  0.0000  0.0000  0.5000  2 S 2.92
Ba  0.0000  0.5000  0.0000  2 S 2.92
Ba  0.5000  0.0000  0.0000  2 S 2.92
Pt  0.5000  0.5000  0.5000  12 Ba 4.13
S  0.0000  0.0000  0.0000  6 Ba 2.92

Summary:
For the total energy, the calculation gives -202.05 eV for the cell shown. The crystal system is cubic.



(11)
Material: BaTlPtS2
Method: DFT, meta-GGA SCAN
State: single point on PBEsol structure

Unit cell a=4.8833 b=4.8833 c=7.0156 alpha=90.00 beta=90.00 gamma=90.00
With the nearest neighbours (Å) after each atom.
Element x y z (fractional)
Ba  0.0000  0.0000  0.0000  4 Pt 3.45, 2 Tl 3.51
Tl  0.0000  0.0000  0.5000  4 S 2.44
Pt  0.5000  0.5000  0.0000  4 Ba 3.45
S  0.0000  0.5000  0.5000  2 Tl 2.44
S  0.5000  0.0000  0.5000  2 Tl 2.44

Summary:
For the total energy, the calculation gives -199.27 eV for the cell shown. The crystal system is tetragonal.



(12)
Material: BaSb2Pt
Method: DFT, meta-GGA SCAN
State: single point on PBEsol structure

Unit cell a=5.8263 b=5.8263 c=3.2440 alpha=90.00 beta=90.00 gamma=110.89
With the nearest neighbours (Å) after each atom.
Element x y z (fractional)
Ba  0.0000  0.0000  0.0000  2 Ba 3.24, 2 Pt 3.30, 8 Sb 3.33
Sb  0.0000  0.5000  0.5000  4 Sb 3.24-3.30, 4 Pt 3.33, 4 Ba 3.33
Sb  0.5000  0.0000  0.5000  4 Sb 3.24-3.30, 4 Pt 3.33, 4 Ba 3.33
Pt  0.5000  0.5000  0.0000  2 Pt 3.24, 2 Ba 3.30, 8 Sb 3.33

Summary:
For the total energy, the calculation gives -184.27 eV for the cell shown. The crystal system is orthorhombic.